(1)
The following is a GGA-PBE calculation of Tm2FeB4Pt4 after structural relaxation, from OQMD via LeMat-Bulk.

**Electronic total energy**: -6.78 eV/atom
**M_tot**: 0.001 μB per formula unit

abc: 7.5610 6.6754 5.1937
angles: 78.04 59.74 42.22
Sites, in units of the cell vectors:
B (0.0228, 0.2515, 0.7485)
B (0.9772, 0.7485, 0.2515)
B (0.7485, 0.9772, 0.0228)
B (0.2515, 0.0228, 0.9772)
Fe (0.0000, 0.0000, 0.0000)
Pt (0.0000, 0.0000, 0.5000)
Pt (0.5000, 0.5000, 0.0000)
Pt (0.2500, 0.2500, 0.2500)
Pt (0.7500, 0.7500, 0.7500)
Tm (0.6344, 0.6344, 0.3656)
Tm (0.3656, 0.3656, 0.6344)

(2)
The following is a GGA-PBE calculation of Nd2Dy2CI3Cl2 after structural relaxation, from OQMD via LeMat-Bulk.

**E above lowest polymorph**: 7 meV/atom
**M_tot**: 0.030 μB per formula unit

abc: 9.0985 9.0985 8.9302
angles: 102.14 102.14 25.25
Sites, in units of the cell vectors:
Nd (0.9956, 0.9956, 0.1924)
Nd (0.0044, 0.0044, 0.8076)
Dy (0.3611, 0.3611, 0.9338)
Dy (0.6389, 0.6389, 0.0662)
Cl (0.8265, 0.8265, 0.1243)
Cl (0.1735, 0.1735, 0.8757)
C (0.5000, 0.5000, 0.0000)
I (0.5000, 0.5000, 0.5000)
I (0.8237, 0.8237, 0.6697)
I (0.1763, 0.1763, 0.3303)

(3)
The following is a GGA-PBE calculation of GaFe2Si after structural relaxation, from OQMD via LeMat-Bulk.

**Electronic total energy**: -6.56 eV/atom
**M_tot**: 0.335 μB per formula unit

abc: 5.6386 5.6386 5.6386
angles: 90.00 90.00 90.00
Sites, in units of the cell vectors:
Fe (0.2583, 0.7417, 0.2583)
Fe (0.2583, 0.2583, 0.7417)
Fe (0.7417, 0.2583, 0.7417)
Fe (0.2583, 0.2583, 0.2583)
Fe (0.2583, 0.7417, 0.7417)
Fe (0.7417, 0.7417, 0.7417)
Fe (0.7417, 0.2583, 0.2583)
Fe (0.7417, 0.7417, 0.2583)
Si (0.5000, 0.0000, 0.5000)
Si (0.5000, 0.5000, 0.0000)
Si (0.0000, 0.5000, 0.5000)
Si (0.5000, 0.5000, 0.5000)
Ga (0.0000, 0.0000, 0.5000)
Ga (0.0000, 0.5000, 0.0000)
Ga (0.0000, 0.0000, 0.0000)
Ga (0.5000, 0.0000, 0.0000)

(4)
The following is a GGA-PBE calculation of TbB after structural relaxation, from OQMD via LeMat-Bulk.

**E above lowest polymorph**: 339 meV/atom
**M_tot**: 1.566 μB per formula unit

abc: 4.4049 4.4049 5.4302
angles: 90.00 90.00 120.00
Sites, in units of the cell vectors:
B (0.3333, 0.6667, 0.4375)
B (0.0000, 0.0000, 0.9375)
Tb (0.0000, 0.0000, 0.4375)
Tb (0.3333, 0.6667, 0.9375)

(5)
The following is a GGA-PBE calculation of HfInAuSe2S after structural relaxation, from OQMD via LeMat-Bulk.

**Electronic total energy**: -5.22 eV/atom
**M_tot**: 0.003 μB per formula unit

abc: 7.4687 7.4687 10.1647
angles: 90.00 90.00 150.02
Sites, in units of the cell vectors:
Se (0.3675, 0.6325, 0.0194)
Se (0.6325, 0.3675, 0.5194)
Se (0.6325, 0.3675, 0.9806)
Se (0.3675, 0.6325, 0.4806)
Hf (0.0000, 0.0000, 0.5000)
Hf (0.0000, 0.0000, 0.0000)
In (0.2535, 0.7465, 0.7500)
In (0.7465, 0.2535, 0.2500)
S (0.9424, 0.0576, 0.7500)
S (0.0576, 0.9424, 0.2500)
Au (0.5629, 0.4371, 0.7500)
Au (0.4371, 0.5629, 0.2500)

(6)
The following is a GGA-PBE calculation of BaTaPd after structural relaxation, from OQMD via LeMat-Bulk.

**E above lowest polymorph**: 0 meV/atom
**M_tot**: 2.568 μB per formula unit

abc: 4.9660 4.9660 4.9660
angles: 60.00 60.00 60.00
Sites, in units of the cell vectors:
Ta (0.7500, 0.7500, 0.7500)
Pd (0.0000, 0.0000, 0.0000)
Ba (0.2500, 0.2500, 0.2500)

(7)
The following is a GGA-PBE calculation of La2Hf after structural relaxation, from OQMD via LeMat-Bulk.

**Formation energy from the elements**: 1.88 eV/atom
**E above lowest polymorph**: 1219 meV/atom
**M_tot**: 0.013 μB per formula unit

abc: 8.9259 8.9259 8.9259
angles: 60.00 60.00 60.00
Sites, in units of the cell vectors:
La (0.8750, 0.3750, 0.3750)
La (0.3750, 0.3750, 0.8750)
La (0.3750, 0.3750, 0.3750)
La (0.3750, 0.8750, 0.3750)
Hf (0.5000, 0.5000, 0.5000)
Hf (0.2500, 0.2500, 0.2500)

(8)
The following is a GGA-PBE calculation of Cs2OsS3 after structural relaxation, from OQMD via LeMat-Bulk.

**Electronic total energy**: -4.86 eV/atom
**M_tot**: 1.003 μB per formula unit

abc: 7.8309 7.8309 10.1175
angles: 119.94 119.94 54.04
Sites, in units of the cell vectors:
S (0.2697, 0.7303, 0.5000)
S (0.7906, 0.7906, 0.7257)
S (0.3868, 0.3868, 0.1075)
S (0.6132, 0.6132, 0.8925)
S (0.7303, 0.2697, 0.5000)
S (0.2094, 0.2094, 0.2743)
Cs (0.0829, 0.0829, 0.8611)
Cs (0.9171, 0.9171, 0.1389)
Cs (0.3027, 0.3027, 0.6885)
Cs (0.6973, 0.6973, 0.3115)
Os (0.3860, 0.3860, 0.3254)
Os (0.6140, 0.6140, 0.6746)

(9)
The following is a GGA-PBE calculation of ZrInIr2 after structural relaxation, from OQMD via LeMat-Bulk.

**Electronic total energy**: -7.78 eV/atom
**M_tot**: 0.001 μB per formula unit

abc: 4.3483 4.3483 3.6988
angles: 90.00 90.00 90.00
Sites, in units of the cell vectors:
In (0.0000, 0.0000, 0.0000)
Ir (0.5000, 0.0000, 0.5000)
Ir (0.0000, 0.5000, 0.5000)
Zr (0.5000, 0.5000, 0.0000)

(10)
The following is a GGA-PBE calculation of GaCoTcMo after structural relaxation, from OQMD via LeMat-Bulk.

**E above lowest polymorph**: 0 meV/atom
**M_tot**: 0.933 μB per formula unit

abc: 4.2815 4.2815 4.2815
angles: 60.00 60.00 60.00
Sites, in units of the cell vectors:
Co (0.7500, 0.7500, 0.7500)
Ga (0.0000, 0.0000, 0.0000)
Tc (0.2500, 0.2500, 0.2500)
Mo (0.5000, 0.5000, 0.5000)

(11)
The following is a GGA-PBE calculation of BaGaCu after structural relaxation, from OQMD via LeMat-Bulk.

**Electronic total energy**: -2.82 eV/atom

abc: 4.9716 4.9716 4.9716
angles: 60.00 60.00 60.00
Sites, in units of the cell vectors:
Cu (0.0000, 0.0000, 0.0000)
Ga (0.7500, 0.7500, 0.7500)
Ba (0.2500, 0.2500, 0.2500)

(12)
The following is a GGA-PBE calculation of Zr2GePt after structural relaxation, from OQMD via LeMat-Bulk.

**Electronic total energy**: -7.17 eV/atom
**M_tot**: 2.127 μB per formula unit

abc: 4.7428 4.7428 4.7428
angles: 60.00 60.00 60.00
Sites, in units of the cell vectors:
Zr (0.7500, 0.7500, 0.7500)
Zr (0.0000, 0.0000, 0.0000)
Ge (0.5000, 0.5000, 0.5000)
Pt (0.2500, 0.2500, 0.2500)

(13)
The following is a GGA-PBE calculation of Lu2CoAu after structural relaxation, from OQMD via LeMat-Bulk.

**Formation energy from the elements**: -0.13 eV/atom
**E above lowest polymorph**: 0 meV/atom
**M_tot**: 0.932 μB per formula unit

abc: 4.7265 4.7265 4.7265
angles: 60.00 60.00 60.00
Sites, in units of the cell vectors:
Lu (0.0000, 0.0000, 0.0000)
Lu (0.7500, 0.7500, 0.7500)
Au (0.5000, 0.5000, 0.5000)
Co (0.2500, 0.2500, 0.2500)

(14)
The following is a GGA-PBE calculation of LuRe2 after structural relaxation, from OQMD via LeMat-Bulk.

**Formation energy from the elements**: 4.35 eV/atom
**M_tot**: 7.033 μB per formula unit

abc: 8.7729 8.7729 8.7729
angles: 60.00 60.00 60.00
Sites, in units of the cell vectors:
Lu (0.5000, 0.5000, 0.5000)
Lu (0.2500, 0.2500, 0.2500)
Re (0.3750, 0.3750, 0.3750)
Re (0.3750, 0.3750, 0.8750)
Re (0.3750, 0.8750, 0.3750)
Re (0.8750, 0.3750, 0.3750)

(15)
The following is a GGA-PBE calculation of NbSiPt after structural relaxation, from OQMD via LeMat-Bulk.

**Electronic total energy**: -7.65 eV/atom
**M_tot**: 0.050 μB per formula unit

abc: 6.3817 6.3817 4.0983
angles: 90.00 90.00 120.00
Sites, in units of the cell vectors:
Nb (0.0000, 0.5656, 0.0000)
Nb (0.4344, 0.4344, 0.0000)
Nb (0.5656, 0.0000, 0.0000)
Si (0.2559, 0.0000, 0.5000)
Si (0.7441, 0.7441, 0.5000)
Si (0.0000, 0.2559, 0.5000)
Pt (0.3333, 0.6667, 0.5000)
Pt (0.6667, 0.3333, 0.5000)
Pt (0.0000, 0.0000, 0.0000)

(16)
The following is a GGA-PBE calculation of PrNdSbBr2 after structural relaxation, from OQMD via LeMat-Bulk.

**Electronic total energy**: -4.94 eV/atom
**M_tot**: 0.006 μB per formula unit

abc: 4.3854 4.3854 11.1345
angles: 90.00 90.00 120.00
Sites, in units of the cell vectors:
Sb (0.0000, 0.0000, 0.9984)
Br (0.6667, 0.3333, 0.6810)
Br (0.3333, 0.6667, 0.3207)
Pr (0.6667, 0.3333, 0.1621)
Nd (0.3333, 0.6667, 0.8378)

(17)
The following is a GGA-PBE calculation of Ta8Re5 after structural relaxation, from OQMD via LeMat-Bulk.

**Formation energy from the elements**: 0.16 eV/atom
**E above lowest polymorph**: 0 meV/atom
**M_tot**: 0.001 μB per formula unit

abc: 9.6487 9.6487 9.6487
angles: 32.14 32.14 32.14
Sites, in units of the cell vectors:
Ta (0.9121, 0.4146, 0.9121)
Ta (0.4146, 0.9121, 0.9121)
Ta (0.9121, 0.9121, 0.4146)
Ta (0.0879, 0.0879, 0.5854)
Ta (0.0879, 0.5854, 0.0879)
Ta (0.5854, 0.0879, 0.0879)
Ta (0.6500, 0.6500, 0.6500)
Ta (0.3500, 0.3500, 0.3500)
Re (0.8326, 0.8326, 0.8326)
Re (0.4558, 0.4558, 0.4558)
Re (0.5442, 0.5442, 0.5442)
Re (0.0000, 0.0000, 0.0000)
Re (0.1674, 0.1674, 0.1674)

(18)
The following is a GGA-PBE calculation of NdReNO after structural relaxation, from OQMD via LeMat-Bulk.

**E above lowest polymorph**: 1037 meV/atom
**M_tot**: 0.881 μB per formula unit

abc: 4.9250 4.9250 4.4417
angles: 90.00 90.00 90.02
Sites, in units of the cell vectors:
Nd (0.7500, 0.7500, 0.0000)
Nd (0.2500, 0.2500, 0.0000)
N (0.7500, 0.2500, 0.9983)
N (0.2500, 0.7500, 0.0017)
Re (0.7500, 0.2500, 0.4993)
Re (0.2500, 0.7500, 0.5007)
O (0.7500, 0.7500, 0.5000)
O (0.2500, 0.2500, 0.5000)

(19)
The following is a GGA-PBE calculation of K2Nd after structural relaxation, from OQMD via LeMat-Bulk.

**Electronic total energy**: -1.34 eV/atom
**M_tot**: 2.904 μB per formula unit

abc: 6.7156 6.7156 6.7156
angles: 60.00 60.00 60.00
Sites, in units of the cell vectors:
K (0.7500, 0.7500, 0.7500)
K (0.2500, 0.2500, 0.2500)
Nd (0.0000, 0.0000, 0.0000)

(20)
The following is a GGA-PBE calculation of Dy3Sb2Se after structural relaxation, from OQMD via LeMat-Bulk.

**E above lowest polymorph**: 8 meV/atom
**M_tot**: 0.001 μB per formula unit

abc: 4.2884 4.2884 10.4592
angles: 90.00 90.00 120.00
Sites, in units of the cell vectors:
Se (0.0000, 0.0000, 0.0000)
Dy (0.6667, 0.3333, 0.8437)
Dy (0.0000, 0.0000, 0.5000)
Dy (0.3333, 0.6667, 0.1563)
Sb (0.6667, 0.3333, 0.3266)
Sb (0.3333, 0.6667, 0.6734)